The following is a PBE-GGA calculation of a geometry-optimized In2CuPt2 structure, from Alexandria.

Unit cell a=7.6488 b=7.6488 c=3.1820 alpha=90.00 beta=90.00 gamma=90.00
Atoms (fractional coordinates):
Pt 0.3577 0.1423 0.5000
Pt 0.6423 0.8577 0.5000
Pt 0.1423 0.6423 0.5000
Pt 0.8577 0.3577 0.5000
Cu 0.0000 0.0000 0.0000
Cu 0.5000 0.5000 0.0000
In 0.3439 0.8439 0.0000
In 0.6561 0.1561 0.0000
In 0.8439 0.6561 0.0000
In 0.1561 0.3439 0.0000

Excess energy over the best structure of this formula in the dataset, meV/atom: 159
Energy of formation, eV/atom: -0.14


The following is a PBE-GGA calculation of a geometry-optimized CaLaSi2 structure, from Alexandria.

Unit cell a=3.9434 b=5.9262 c=8.4418 alpha=90.00 beta=90.00 gamma=90.00
Atoms (fractional coordinates):
Si 0.0000 0.3656 0.0332
Si 0.0000 0.6344 0.5332
Si 0.5000 0.8701 0.4660
Si 0.5000 0.1299 0.9660
La 0.0000 0.8571 0.1807
La 0.0000 0.1429 0.6807
Ca 0.5000 0.6381 0.8201
Ca 0.5000 0.3619 0.3201


The following is a PBE-GGA calculation of a geometry-optimized ReAgSb2O structure, from Alexandria.

Unit cell a=4.6728 b=4.2397 c=4.6728 alpha=90.00 beta=90.00 gamma=90.00
Last column: magnetic moment on the atom in μB.
Atoms (fractional coordinates):
Sb 0.5000 0.0000 0.0000  -0.03
Sb 0.0000 0.0000 0.5000  -0.03
O 0.0000 0.0000 0.0000  -0.02
Ag 0.0000 0.5000 0.0000  0.01
Re 0.5000 0.5000 0.5000  1.41


The following is a PBE-GGA calculation of a geometry-optimized BaScOs2 structure, from Alexandria.

Unit cell a=3.8183 b=2.9941 c=8.4806 alpha=78.65 beta=90.00 gamma=90.00
Atoms (fractional coordinates):
Sc 0.0000 0.7141 0.4049
Os 0.0000 0.8937 0.0954
Os 0.5000 0.3320 0.2098
Ba 0.5000 0.5603 0.7899

Excess energy over the best structure of this formula in the dataset, meV/atom: 241
Energy of formation, eV/atom: 0.37


The following is a PBE-GGA calculation of a geometry-optimized Nd4CuRu3 structure, from Alexandria.

Unit cell a=4.2593 b=4.3222 c=10.5563 alpha=90.00 beta=90.00 gamma=90.00
Atoms (fractional coordinates):
Nd 0.5000 0.5000 0.3571
Nd 0.0000 0.5000 0.8564
Nd 0.5000 0.0000 0.6512
Nd 0.0000 0.0000 0.1363
Ru 0.5000 0.0000 0.9354
Ru 0.0000 0.5000 0.5519
Ru 0.0000 0.0000 0.4464
Cu 0.5000 0.5000 0.0652

Energy of formation, eV/atom: -0.14


The following is a PBE-GGA calculation of a geometry-optimized SrPmZnSb structure, from Alexandria.

Unit cell a=5.4524 b=5.4524 c=5.4524 alpha=60.00 beta=60.00 gamma=60.00
Atoms (fractional coordinates):
Sb 0.5000 0.5000 0.5000
Sr 0.2500 0.2500 0.2500
Pm 0.7500 0.7500 0.7500
Zn 0.0000 0.0000 0.0000


The following is a PBE-GGA calculation of a geometry-optimized Ta3NbMo4 structure, from Alexandria.

Unit cell a=4.5721 b=6.4440 c=9.1471 alpha=90.00 beta=90.00 gamma=90.00
Atoms (fractional coordinates):
Ta 0.5001 0.5000 0.7500
Ta 0.0000 0.0000 0.0000
Ta 0.4999 0.5000 0.2500
Ta 0.4999 0.0000 0.2500
Ta 0.5001 0.0000 0.7500
Ta 0.0000 0.0000 0.5000
Nb 0.0000 0.5000 0.5000
Nb 0.0000 0.5000 0.0000
Mo 0.0001 0.2499 0.7500
Mo 0.9999 0.2499 0.2500
Mo 0.9999 0.7501 0.2500
Mo 0.5000 0.7501 0.0000
Mo 0.5000 0.2499 0.0000
Mo 0.0001 0.7501 0.7500
Mo 0.5000 0.2499 0.5000
Mo 0.5000 0.7501 0.5000

Energy of formation, eV/atom: -0.19


The following is a PBE-GGA calculation of a geometry-optimized Mn2CuP structure, from Alexandria.

Unit cell a=3.0057 b=3.0061 c=5.3955 alpha=90.00 beta=90.00 gamma=90.00
Last column: magnetic moment on the atom in μB.
Atoms (fractional coordinates):
Cu 0.5000 0.5000 0.7516  0.15
P 0.0000 0.0000 0.4722  -0.01
Mn 0.0000 0.0000 0.9995  3.44
Mn 0.5000 0.5000 0.2768  0.45

Energy of formation, eV/atom: -0.01


The following is a PBE-GGA calculation of a geometry-optimized LiGe2Pt structure, from Alexandria.

Unit cell a=4.3532 b=8.8986 c=9.1990 alpha=118.93 beta=103.69 gamma=90.00
Atoms (fractional coordinates):
Ge 0.6965 0.0531 0.3930
Ge 0.0779 0.5779 0.1559
Ge 0.0805 0.0805 0.1611
Ge 0.3035 0.9469 0.6070
Ge 0.6965 0.3399 0.3930
Ge 0.9195 0.9195 0.8389
Ge 0.9221 0.4221 0.8441
Ge 0.3035 0.6601 0.6070
Li 0.6922 0.6922 0.3845
Li 0.5000 0.7156 0.0000
Li 0.3078 0.3078 0.6155
Li 0.5000 0.2844 0.0000
Pt 0.1483 0.8946 0.2966
Pt 0.8517 0.5981 0.7034
Pt 0.1483 0.4019 0.2966
Pt 0.8517 0.1054 0.7034

Excess energy over the best structure of this formula in the dataset, meV/atom: 81
Energy of formation, eV/atom: -0.40


The following is a PBE-GGA calculation of a geometry-optimized CaMnTe2 structure, from Alexandria.

Unit cell a=4.2596 b=4.2596 c=8.0411 alpha=90.00 beta=90.00 gamma=119.42
Last column: magnetic moment on the atom in μB.
Atoms (fractional coordinates):
Mn 0.5000 0.5000 0.7500  4.26
Te 0.0000 0.0000 0.9798  0.07
Te 0.0000 0.0000 0.5202  0.07
Ca 0.5000 0.5000 0.2500  0.03

Excess energy over the best structure of this formula in the dataset, meV/atom: 335


The following is a PBE-GGA calculation of a geometry-optimized LiInAs2 structure, from Alexandria.

Unit cell a=4.3047 b=3.0022 c=7.3088 alpha=78.02 beta=90.00 gamma=90.00
Atoms (fractional coordinates):
As 0.0000 0.4036 0.8146
As 0.5000 0.1817 0.2653
Li 0.5000 0.8447 0.9327
In 0.0000 0.0700 0.4874

Energy of formation, eV/atom: -0.17


The following is a PBE-GGA calculation of a geometry-optimized ScAlAg3 structure, from Alexandria.

Unit cell a=3.0718 b=4.6945 c=13.8928 alpha=99.73 beta=90.00 gamma=90.00
Atoms (fractional coordinates):
Ag 0.0000 0.2763 0.5526
Ag 0.5000 0.5493 0.0986
Ag 0.0000 0.0803 0.1605
Ag 0.0000 0.9197 0.8395
Ag 0.5000 0.4507 0.9014
Ag 0.0000 0.7237 0.4474
Al 0.0000 0.6294 0.2588
Al 0.0000 0.3706 0.7412
Sc 0.5000 0.1783 0.3567
Sc 0.5000 0.8217 0.6433

Excess energy over the best structure of this formula in the dataset, meV/atom: 115
Energy of formation, eV/atom: -0.10


| no. | electronic total energy (eV/cell) |
| --- | --- |
| 1 | -44.7 |
| 2 | -40.6 |
| 3 | -25.3 |
| 4 | -29.2 |
| 5 | -52.1 |
| 6 | -13.8 |
| 7 | -180.9 |
| 8 | -27.9 |
| 9 | -75.1 |
| 10 | -19.4 |
| 11 | -14.6 |
| 12 | -38.3 |